1.
VASP calculation (GGA-PBE) on an optimized crystal structure of YAg2Rh.

a = 5.5033 Å, b = 10.4537 Å, c = 3.3498 Å
α = 90.00°, β = 124.79°, γ = 90.00°
Closest atoms and distances in Å follow each position.
Space group C2/m (No. 12)
Inequivalent atoms, fractional coordinates:
Y  0.0000  0.0000  0.0000 x2  4 Rh 2.75-2.88, 4 Ag 2.98
Ag  0.2500  0.2500  0.5000 x4  4 Ag 2.75-2.88, 2 Y 2.98, 2 Rh 2.98
Rh  0.0000  0.5000  0.0000 x2  4 Y 2.75-2.88, 4 Ag 2.98

Properties
formation energy from the elements: -151 meV/atom
polymorph energy (0 for the lowest one): 0.2461 eV/atom
energy: -5.030 eV/atom

2.
VASP calculation (GGA-PBE) on an optimized crystal structure of MgPt3Pb.

a = 4.7428 Å, b = 4.7428 Å, c = 4.7428 Å
α = 90.00°, β = 90.00°, γ = 90.00°
Closest atoms and distances in Å follow each position.
Space group Pm-3m (No. 221)
Inequivalent atoms, fractional coordinates:
Mg  0.0000  0.0000  0.0000 x1  6 Pt 2.37
Pt  0.0000  0.0000  0.5000 x3  2 Mg 2.37
Pb  0.5000  0.5000  0.5000 x1  12 Pt 3.35

Properties
formation energy from the elements: 465 meV/atom
polymorph energy (0 for the lowest one): 0.0000 eV/atom
energy: -4.220 eV/atom

3.
VASP calculation (GGA-PBE) on an optimized crystal structure of BeReRh.

a = 4.0711 Å, b = 9.0719 Å, c = 4.0126 Å
α = 90.00°, β = 90.00°, γ = 90.00°
Closest atoms and distances in Å follow each position.
Space group Cmcm (No. 63)
Inequivalent atoms, fractional coordinates:
Be  0.0000  0.2458  0.2500 x4  4 Rh 2.38-2.45, 4 Re 2.50-2.53
Re  0.0000  0.4151  0.7500 x4  4 Be 2.50-2.53, 2 Re 2.53, 2 Rh 2.66
Rh  0.0000  0.1045  0.7500 x4  4 Be 2.38-2.45, 2 Re 2.66

Properties
formation energy from the elements: -269 meV/atom
polymorph energy (0 for the lowest one): 0.0106 eV/atom
energy: -8.111 eV/atom

4.
VASP calculation (GGA-PBE) on an optimized crystal structure of TiHIr2Os.

a = 3.9207 Å, b = 3.9207 Å, c = 3.9493 Å
α = 90.00°, β = 90.00°, γ = 90.00°
Closest atoms and distances in Å follow each position.
Space group P4/mmm (No. 123)
Inequivalent atoms, fractional coordinates:
Ti  0.0000  0.0000  0.0000 x1  4 Os 2.77, 8 Ir 2.78
H  0.5000  0.5000  0.5000 x1  4 Ir 1.96, 2 Os 1.97
Ir  0.0000  0.5000  0.5000 x2  2 H 1.96
Os  0.5000  0.5000  0.0000 x1  2 H 1.97

Properties
polymorph energy (0 for the lowest one): 0.0103 eV/atom
energy: -8.378 eV/atom

5.
VASP calculation (GGA-PBE) on an optimized crystal structure of KTlSbI2.

a = 6.5524 Å, b = 6.5524 Å, c = 5.8276 Å
α = 90.00°, β = 90.00°, γ = 90.00°
Closest atoms and distances in Å follow each position.
Space group P4/mmm (No. 123)
Inequivalent atoms, fractional coordinates:
K  0.0000  0.0000  0.0000 x1  8 I 4.38, 4 Sb 4.63
Tl  0.5000  0.5000  0.5000 x1  2 Sb 2.91
Sb  0.5000  0.5000  0.0000 x1  2 Tl 2.91
I  0.0000  0.5000  0.5000 x2  2 Tl 3.28

Properties
polymorph energy (0 for the lowest one): 0.0000 eV/atom
energy: -2.442 eV/atom
raw formation energy: -0.305 eV per atom

6.
VASP calculation (GGA-PBE) on an optimized crystal structure of Rb3Tb2PmO6.

a = 6.1805 Å, b = 10.7054 Å, c = 6.8958 Å
α = 90.00°, β = 107.38°, γ = 90.00°
Closest atoms and distances in Å follow each position.
Space group C2/m (No. 12)
Inequivalent atoms, fractional coordinates:
Rb  0.0000  0.0000  0.0000 x2  6 O 2.93-2.97
Rb  0.0000  0.3328  0.0000 x4  6 O 2.93-2.98
Tb  0.0000  0.1667  0.5000 x4  6 O 2.35
Pm  0.0000  0.5000  0.5000 x2  6 O 2.40
O  0.2191  0.0000  0.6771 x4  2 Tb 2.35, 1 Pm 2.40
O  0.2290  0.3300  0.6771 x8  2 Tb 2.35, 1 Pm 2.40

Properties
energy: -6.538 eV/atom
raw formation energy: -2.649 eV per atom

7.
VASP calculation (GGA-PBE) on an optimized crystal structure of PuTl2I4.

a = 15.8447 Å, b = 4.7244 Å, c = 9.5957 Å
α = 90.00°, β = 118.90°, γ = 90.00°
Closest atoms and distances in Å follow each position.
Space group C2/m (No. 12)
Inequivalent atoms, fractional coordinates:
Pu  0.0000  0.0000  0.0000 x2  6 I 3.18-3.21
Tl  0.1969  0.5000  0.6769 x4  6 I 3.45-3.77
I  0.1007  0.0000  0.3784 x4  1 Pu 3.18, 3 Tl 3.45-3.50
I  0.1420  0.5000  0.0181 x4  2 Pu 3.21

Properties
energy: -4.401 eV/atom
raw formation energy: -0.792 eV per atom

8.
VASP calculation (GGA-PBE) on an optimized crystal structure of AlVC2.

a = 4.5939 Å, b = 4.5939 Å, c = 9.0423 Å
α = 90.00°, β = 90.00°, γ = 90.00°
Closest atoms and distances in Å follow each position.
Space group I-42d (No. 122)
Inequivalent atoms, fractional coordinates:
Al  0.0000  0.0000  0.0000 x4  4 C 2.03
V  0.0000  0.0000  0.5000 x4  4 C 1.93
C  0.2307  0.2500  0.6250 x8  2 V 1.93, 2 Al 2.03

Properties
formation energy from the elements: 171 meV/atom
energy: -7.656 eV/atom

9.
VASP calculation (GGA-PBE) on an optimized crystal structure of ZrRuAu2.

a = 6.5784 Å, b = 6.5784 Å, c = 6.5784 Å
α = 90.00°, β = 90.00°, γ = 90.00°
Closest atoms and distances in Å follow each position.
Space group F-43m (No. 216)
Inequivalent atoms, fractional coordinates:
Zr  0.0000  0.0000  0.0000 x4  4 Au 2.85, 4 Ru 2.85
Ru  0.2500  0.2500  0.7500 x4  4 Zr 2.85, 4 Au 2.85
Au  0.0000  0.0000  0.5000 x4  4 Ru 2.85, 4 Au 2.85
Au  0.2500  0.2500  0.2500 x4  4 Zr 2.85, 4 Au 2.85

Properties
formation energy from the elements: -171 meV/atom
polymorph energy (0 for the lowest one): 0.2030 eV/atom
energy: -6.266 eV/atom

10.
VASP calculation (GGA-PBE) on an optimized crystal structure of CaLa2Hg.

a = 3.7233 Å, b = 5.6017 Å, c = 12.7897 Å
α = 90.00°, β = 90.00°, γ = 90.00°
Closest atoms and distances in Å follow each position.
Space group Immm (No. 71)
Inequivalent atoms, fractional coordinates:
Ca  0.0000  0.0000  0.0000 x2  4 Hg 3.36, 2 Ca 3.72
La  0.0000  0.5000  0.2120 x4  2 Hg 3.29, 4 La 3.50
Hg  0.0000  0.0000  0.5000 x2  4 La 3.29, 4 Ca 3.36

Properties
formation energy from the elements: -229 meV/atom
energy: -3.269 eV/atom

11.
VASP calculation (GGA-PBE) on an optimized crystal structure of InSb2Br6.

a = 14.5648 Å, b = 12.3037 Å, c = 11.8078 Å
α = 90.00°, β = 125.12°, γ = 90.00°
Closest atoms and distances in Å follow each position.
Space group C2/c (No. 15)
Inequivalent atoms, fractional coordinates:
In  0.0000  0.0645  0.2500 x4  6 Br 3.27-3.62
Sb  0.1323  0.4612  0.2248 x8  2 Br 2.58-2.67
Br  0.1161  0.2547  0.1786 x8  1 Sb 2.58
Br  0.1225  0.4840  0.4740 x8  3 Sb 2.96-3.06
Br  0.1436  0.0455  0.6073 x8  1 Sb 2.67

Properties
energy: -2.830 eV/atom
raw formation energy: -0.494 eV per atom

12.
VASP calculation (GGA-PBE) on an optimized crystal structure of YMnCu2.

a = 4.2601 Å, b = 4.2601 Å, c = 17.3603 Å
α = 90.00°, β = 90.00°, γ = 90.00°
Closest atoms and distances in Å follow each position.
Space group I-42d (No. 122)
Inequivalent atoms, fractional coordinates:
Y  0.0000  0.0000  0.0000 x4  4 Cu 2.91, 4 Mn 3.01
Mn  0.0000  0.0000  0.5000 x4  4 Cu 2.47
Cu  0.1209  0.2500  0.6250 x8  2 Cu 2.37, 2 Mn 2.47

Properties
formation energy from the elements: 369 meV/atom
energy: -5.587 eV/atom